Entry 1:
The following is a PBE calculation of a relaxed structure of KPbAu2, from Alexandria via LeMat-Bulk. Values from VASP.

Summary:
- Size of the total moment: 0.00 μB/atom
- Space-group type: I-4m2 (119)
- Calculated total energy: -2.844 eV per atom
- D(E_F): 1.60 states/eV/cell

```
&SYSTEM
  ibrav = 0, nat = 4, ntyp = 3
/
ATOMIC_SPECIES
K 39.10 K.upf
Pb 207.20 Pb.upf
Au 196.97 Au.upf
CELL_PARAMETERS angstrom
5.789 0.002 0.000
2.175 5.365 0.000
-3.982 -2.684 3.234
ATOMIC_POSITIONS angstrom
K 3.982 2.684 0.000
Pb 2.895 0.001 1.617
Au 0.000 0.000 0.000
Au 1.087 2.683 1.617
```



Entry 2:
The following is a PBE calculation of a relaxed structure of KPb6Au2, from Alexandria via LeMat-Bulk. Values from VASP.

Summary:
- Size of the total moment: 0.00 μB/atom
- Space-group type: P4/mmm (123)
- Calculated total energy: -3.407 eV per atom
- D(E_F): 5.97 states/eV/cell

```
&SYSTEM
  ibrav = 0, nat = 9, ntyp = 3
/
ATOMIC_SPECIES
Au 196.97 Au.upf
Pb 207.20 Pb.upf
K 39.10 K.upf
CELL_PARAMETERS angstrom
4.907 0.000 0.000
0.000 4.907 0.000
0.000 0.000 11.441
ATOMIC_POSITIONS angstrom
Au 2.453 2.453 1.351
Au 2.453 2.453 10.091
Pb 0.000 2.453 8.303
Pb 2.453 0.000 3.138
Pb 2.453 0.000 8.303
Pb 0.000 2.453 3.138
Pb 0.000 0.000 5.721
Pb 2.453 2.453 5.721
K 0.000 0.000 0.000
```



Entry 3:
The following is a PBE calculation of a relaxed structure of KPbAu2, from Alexandria via LeMat-Bulk. Values from VASP.

Summary:
- Size of the total moment: 0.00 μB/atom
- Space-group type: C2/m (12)
- Calculated total energy: -3.005 eV per atom
- D(E_F): 1.16 states/eV/cell

```
&SYSTEM
  ibrav = 0, nat = 4, ntyp = 3
/
ATOMIC_SPECIES
K 39.10 K.upf
Au 196.97 Au.upf
Pb 207.20 Pb.upf
CELL_PARAMETERS angstrom
-4.495 2.098 0.515
-2.216 0.087 4.467
0.284 5.812 2.794
ATOMIC_POSITIONS angstrom
K -4.820 5.998 5.832
Au -3.614 3.192 3.709
Au -6.310 2.992 5.161
Pb -1.607 1.999 1.944
```